No. 1
Mg2Tl | PBE | optimized geometry

Properties
Its space group is Fd-3m, No. 227. As for the energy of formation: 0.062 eV per atom. The total magnetic moment is 0.00 μB per formula unit.

```
data_Mg2Tl
_chemical_formula_sum 'Mg4 Tl2'
_symmetry_space_group_name_H-M 'P 1'
_symmetry_Int_Tables_number 1
_symmetry_space_group_name_Hall 'P 1'
_cell_length_a 6.0060
_cell_length_b 6.0060
_cell_length_c 6.0060
_cell_angle_alpha 60.00
_cell_angle_beta 60.00
_cell_angle_gamma 60.00
loop_
_atom_site_label
_atom_site_fract_x
_atom_site_fract_y
_atom_site_fract_z
Mg1 0.5000 0.5000 0.5000
Mg2 0.0000 0.5000 0.0000
Mg3 0.5000 0.0000 0.0000
Mg4 0.5000 0.5000 0.0000
Tl1 0.8750 0.8750 0.3750
Tl2 0.1250 0.1250 0.6250
```

=====

No. 2
BaLaY2 | PBE | optimized geometry

Properties
Its space group is Pmm2, No. 25. As for the energy of formation: 0.163 eV per atom. The total magnetic moment is 0.00 μB per formula unit.

```
data_BaLaY2
_chemical_formula_sum 'Ba1 La1 Y2'
_symmetry_space_group_name_H-M 'P 1'
_symmetry_Int_Tables_number 1
_symmetry_space_group_name_Hall 'P 1'
_cell_length_a 3.7570
_cell_length_b 5.2623
_cell_length_c 7.7976
_cell_angle_alpha 90.00
_cell_angle_beta 90.00
_cell_angle_gamma 90.00
loop_
_atom_site_label
_atom_site_fract_x
_atom_site_fract_y
_atom_site_fract_z
Ba1 0.0000 0.0000 0.4956
La1 0.5000 0.5000 0.7810
Y1 0.0000 0.0000 0.0052
Y2 0.5000 0.5000 0.2182
```

=====

No. 3
TbSc2Tl2Zn2 | PBE | optimized geometry

Properties
Its space group is R-3m, No. 166. As for the energy of formation: -0.173 eV per atom. The total magnetic moment is 0.58 μB per formula unit.

```
data_TbSc2Tl2Zn2
_chemical_formula_sum 'Tb1 Sc2 Tl2 Zn2'
_symmetry_space_group_name_H-M 'P 1'
_symmetry_Int_Tables_number 1
_symmetry_space_group_name_Hall 'P 1'
_cell_length_a 4.6837
_cell_length_b 4.6837
_cell_length_c 8.8791
_cell_angle_alpha 74.71
_cell_angle_beta 74.71
_cell_angle_gamma 60.00
loop_
_atom_site_label
_atom_site_fract_x
_atom_site_fract_y
_atom_site_fract_z
Tb1 0.0000 0.0000 0.0000
Sc1 0.1366 0.1366 0.5902
Sc2 0.8634 0.8634 0.4098
Tl1 0.7366 0.7366 0.7903
Tl2 0.2634 0.2634 0.2097
Zn1 0.5550 0.5550 0.3348
Zn2 0.4450 0.4450 0.6652
```

=====

No. 4
La2TlMo | PBE | optimized geometry

Properties
Its space group is Cm, No. 8. As for the energy of formation: 0.228 eV per atom. The total magnetic moment is 0.00 μB per formula unit.

```
data_La2TlMo
_chemical_formula_sum 'La2 Tl1 Mo1'
_symmetry_space_group_name_H-M 'P 1'
_symmetry_Int_Tables_number 1
_symmetry_space_group_name_Hall 'P 1'
_cell_length_a 6.4594
_cell_length_b 6.4594
_cell_length_c 5.2968
_cell_angle_alpha 65.71
_cell_angle_beta 65.71
_cell_angle_gamma 33.05
loop_
_atom_site_label
_atom_site_fract_x
_atom_site_fract_y
_atom_site_fract_z
La1 0.9922 0.9922 0.0079
La2 0.7940 0.7940 0.7054
Mo1 0.5086 0.5086 0.4922
Tl1 0.2052 0.2052 0.2945
```

=====

No. 5
Sc2CuAu | PBE | optimized geometry

Properties
Its space group is P4/mmm, No. 123. As for the energy of formation: -0.542 eV per atom. The total magnetic moment is 0.00 μB per formula unit.

```
data_Sc2CuAu
_chemical_formula_sum 'Sc2 Cu1 Au1'
_symmetry_space_group_name_H-M 'P 1'
_symmetry_Int_Tables_number 1
_symmetry_space_group_name_Hall 'P 1'
_cell_length_a 3.3508
_cell_length_b 4.7215
_cell_length_c 4.7215
_cell_angle_alpha 90.00
_cell_angle_beta 90.00
_cell_angle_gamma 90.00
loop_
_atom_site_label
_atom_site_fract_x
_atom_site_fract_y
_atom_site_fract_z
Sc1 0.0000 0.0000 0.5000
Sc2 0.0000 0.5000 0.0000
Au1 0.5000 0.5000 0.5000
Cu1 0.5000 0.0000 0.0000
```

=====

No. 6
Dy3Zn2Ir | PBE | optimized geometry

Properties
Its space group is P-3m1, No. 164. As for the energy of formation: -0.554 eV per atom. The total magnetic moment is 0.00 μB per formula unit.

```
data_Dy3Zn2Ir
_chemical_formula_sum 'Dy3 Zn2 Ir1'
_symmetry_space_group_name_H-M 'P 1'
_symmetry_Int_Tables_number 1
_symmetry_space_group_name_Hall 'P 1'
_cell_length_a 4.9461
_cell_length_b 4.9461
_cell_length_c 6.1151
_cell_angle_alpha 90.00
_cell_angle_beta 90.00
_cell_angle_gamma 120.00
loop_
_atom_site_label
_atom_site_fract_x
_atom_site_fract_y
_atom_site_fract_z
Dy1 0.0000 0.0000 0.5000
Dy2 0.6667 0.3333 0.8469
Dy3 0.3333 0.6667 0.1531
Zn1 0.6667 0.3333 0.3535
Zn2 0.3333 0.6667 0.6465
Ir1 0.0000 0.0000 0.0000
```